(1)
# BeNbAu | Alexandria | PBE | relaxed
# - Uncorrected energy: -5.740 eV/atom
# - Calculated density: 11.0 g/cm³
# - Spin magnetization: 0.000 μB/cell
# - Calculated volume: 15.03 Å³ per atom
data_BeNbAu
_space_group_name_H-M_alt 'P 1'
_space_group_IT_number 1
_space_group_name_Hall 'P 1'
_cell_length_a 5.3805
_cell_length_b 5.3805
_cell_length_c 5.8795
_cell_angle_alpha 108.93
_cell_angle_beta 108.93
_cell_angle_gamma 34.29
loop_
_atom_site_label
_atom_site_type_symbol
_atom_site_fract_x
_atom_site_fract_y
_atom_site_fract_z
Be1 Be 0.0000 0.0000 0.0000
Be2 Be 0.0000 0.0000 0.5000
Nb1 Nb 0.3280 0.3280 0.6748
Nb2 Nb 0.6720 0.6720 0.3252
Au1 Au 0.3692 0.3692 0.1854
Au2 Au 0.6308 0.6308 0.8146


(2)
# BeNbAu | Alexandria | PBE | relaxed
# - Uncorrected energy: -5.776 eV/atom
# - Calculated density: 11.2 g/cm³
# - Spin magnetization: 0.000 μB/cell
# - Calculated volume: 14.83 Å³ per atom
data_BeNbAu
_space_group_name_H-M_alt 'P 1'
_space_group_IT_number 1
_space_group_name_Hall 'P 1'
_cell_length_a 2.8894
_cell_length_b 2.8894
_cell_length_c 10.6563
_cell_angle_alpha 90.01
_cell_angle_beta 90.01
_cell_angle_gamma 89.99
loop_
_atom_site_label
_atom_site_type_symbol
_atom_site_fract_x
_atom_site_fract_y
_atom_site_fract_z
Be1 Be 0.0000 0.0000 0.0000
Be2 Be 0.0002 0.0002 0.2797
Nb1 Nb 0.0017 0.0017 0.6210
Nb2 Nb 0.5008 0.5008 0.8413
Au1 Au 0.5008 0.5008 0.1356
Au2 Au 0.5014 0.5014 0.4163


Number 1 is which compound? BeNbAu